[1]
Computed, not measured: a relaxed TbThNpO6 crystal at the GGA-PBE level of DFT.

a = 5.8119 Å, b = 5.8119 Å, c = 9.7227 Å
α = 90.00°, β = 90.00°, γ = 120.00°
Closest atoms and distances in Å follow each position.
Element x y z (fractional)
Tb 0.3333 0.6667 0.2500  6 O 2.30
Tb 0.6667 0.3333 0.7500  6 O 2.30
Th 0.0000 0.0000 0.0000  6 O 2.37
Th 0.0000 0.0000 0.5000  6 O 2.37
Np 0.3333 0.6667 0.7500  6 O 2.16
Np 0.6667 0.3333 0.2500  6 O 2.16
O 0.0189 0.3493 0.6337  1 Np 2.16, 1 Tb 2.30, 1 Th 2.37
O 0.0189 0.6696 0.8663  1 Np 2.16, 1 Tb 2.30, 1 Th 2.37
O 0.3304 0.3493 0.8663  1 Np 2.16, 1 Tb 2.30, 1 Th 2.37
O 0.3304 0.9811 0.6337  1 Np 2.16, 1 Tb 2.30, 1 Th 2.37
O 0.3493 0.0189 0.1337  1 Np 2.16, 1 Tb 2.30, 1 Th 2.37
O 0.3493 0.3304 0.3663  1 Np 2.16, 1 Tb 2.30, 1 Th 2.37
O 0.6507 0.6696 0.6337  1 Np 2.16, 1 Tb 2.30, 1 Th 2.37
O 0.6507 0.9811 0.8663  1 Np 2.16, 1 Tb 2.30, 1 Th 2.37
O 0.6696 0.0189 0.3663  1 Np 2.16, 1 Tb 2.30, 1 Th 2.37
O 0.6696 0.6507 0.1337  1 Np 2.16, 1 Tb 2.30, 1 Th 2.37
O 0.9811 0.3304 0.1337  1 Np 2.16, 1 Tb 2.30, 1 Th 2.37
O 0.9811 0.6507 0.3663  1 Np 2.16, 1 Tb 2.30, 1 Th 2.37

Results
Space group = P-31c (163)
E_form (uncorrected) = -3.311 eV/atom
N(E_F) = 0.92 states/eV per atom



[2]
Computed, not measured: a relaxed Li2LaGaPd4 crystal at the GGA-PBE level of DFT.

a = 8.7787 Å, b = 8.7787 Å, c = 8.7787 Å
α = 28.62°, β = 28.62°, γ = 28.62°
Closest atoms and distances in Å follow each position.
Element x y z (fractional)
Li 0.2357 0.2357 0.2357  7 Pd 2.63-2.65
Li 0.7643 0.7643 0.7643  7 Pd 2.63-2.65
La 0.0000 0.0000 0.0000  8 Pd 3.02-3.32
Ga 0.5000 0.5000 0.5000  8 Pd 2.53-2.66
Pd 0.1314 0.1314 0.1314  4 Li 2.63-2.65, 3 Ga 2.66
Pd 0.3998 0.3998 0.3998  1 Ga 2.53, 3 Li 2.63
Pd 0.6002 0.6002 0.6002  1 Ga 2.53, 3 Li 2.63
Pd 0.8686 0.8686 0.8686  4 Li 2.63-2.65, 3 Ga 2.66

Results
E_form = -0.630 eV per atom
Space group = R-3m (166)
N(E_F) = 0.46 states/eV per atom